Entry from the Alexandria database: SrLa2ScRh after structural relaxation (GGA-PBE).

Energy of formation, meV/atom: -245

POSCAR file:
```
SrLa2ScRh
1.0
-0.1072 4.2994 -3.7293
-1.1681 -3.6672 -4.1942
-5.2488 0.6467 0.8964
La Sc Rh Sr
2 1 1 1
direct
0.5000 0.0000 0.0000 La
0.0000 0.5000 0.0000 La
0.0000 0.0000 0.5000 Sc
0.0000 0.0000 0.0000 Rh
0.5000 0.5000 0.5000 Sr
```

Entry from the Alexandria database: La2ScTlRh after structural relaxation (GGA-PBE).

Energy of formation, meV/atom: -365

POSCAR file:
```
La2ScTlRh
1.0
5.5315 0.0000 0.0000
0.0000 5.5315 0.0000
0.0000 0.0000 5.1034
Sc La Rh Tl
1 2 1 1
direct
0.0000 0.0000 0.5000 Sc
0.0000 0.5000 0.0000 La
0.5000 0.0000 0.0000 La
0.0000 0.0000 0.0000 Rh
0.5000 0.5000 0.5000 Tl
```

Entry from the Alexandria database: LaY2ScRh after structural relaxation (GGA-PBE).

Energy of formation, meV/atom: -268

POSCAR file:
```
LaY2ScRh
1.0
-1.2215 5.2865 0.2286
-0.9921 0.0016 -5.3392
-4.9630 -1.1866 0.9219
La Sc Rh Y
1 1 1 2
direct
0.5000 0.5000 0.5000 La
0.0000 0.0000 0.5000 Sc
0.0000 0.0000 0.0000 Rh
0.5000 0.0000 0.0000 Y
0.0000 0.5000 0.0000 Y
```

Entry from the Alexandria database: LaRh2Se after structural relaxation (GGA-PBE).

Raw formation energy, eV/atom: -0.6491

POSCAR file:
```
LaRh2Se
1.0
5.5592 0.0291 0.0188
3.8564 4.0042 0.0188
3.8564 1.6519 3.6476
Se Rh La
1 2 1
direct
0.2500 0.2500 0.2500 Se
0.9590 0.9590 0.9590 Rh
0.5410 0.5410 0.5410 Rh
0.7500 0.7500 0.7500 La
```